1.
An optimized crystal structure of PmTh6Se8. Source: Alexandria, functional PBE.

Unit cell a=8.3616 b=8.3616 c=8.3616 alpha=60.00 beta=60.00 gamma=60.00
Sites, in units of the cell vectors:
Se1 0.2575 0.7425 0.2575
Se2 0.7425 0.2575 0.7425
Se3 0.7425 0.2575 0.2575
Se4 0.2500 0.2500 0.2500
Se5 0.2575 0.2575 0.7425
Se6 0.7500 0.7500 0.7500
Se7 0.2575 0.7425 0.7425
Se8 0.7425 0.7425 0.2575
Th1 0.5000 0.0000 0.5000
Th2 0.5000 0.0000 0.0000
Th3 0.0000 0.0000 0.5000
Th4 0.0000 0.5000 0.5000
Th5 0.0000 0.5000 0.0000
Th6 0.5000 0.5000 0.0000
Pm1 0.0000 0.0000 0.0000

Calculated values
Formation energy from raw total energies (eV per formula unit): -24.6
E_tot (eV/atom): -6.7862

***

2.
An optimized crystal structure of ScIn2Hg. Source: Alexandria, functional PBE.

Unit cell a=5.1206 b=5.1206 c=5.1206 alpha=60.00 beta=60.00 gamma=60.00
Sites, in units of the cell vectors:
Sc1 0.7500 0.7500 0.7500
In1 0.2500 0.2500 0.2500
In2 0.0000 0.0000 0.0000
Hg1 0.5000 0.5000 0.5000

Calculated values
ΔE_f (kJ/mol of atoms): -8.96
E_tot (eV/atom): -3.1204

***

3.
An optimized crystal structure of AlSn2S. Source: Alexandria, functional PBE.

Unit cell a=5.0155 b=5.0155 c=5.0155 alpha=60.00 beta=60.00 gamma=60.00
Sites, in units of the cell vectors:
S1 0.5000 0.5000 0.5000
Sn1 0.7500 0.7500 0.7500
Sn2 0.2500 0.2500 0.2500
Al1 0.0000 0.0000 0.0000

Calculated values
Formation energy from raw total energies (eV per formula unit): 0.7
E_tot (eV/atom): -3.7931
Energy relative to the lowest polymorph listed for this composition (meV per atom): 79

***

4.
An optimized crystal structure of La3YHo2P6. Source: Alexandria, functional PBE.

Unit cell a=7.1657 b=7.1657 c=7.1624 alpha=99.59 beta=99.59 gamma=120.00
Sites, in units of the cell vectors:
Ho1 0.3333 0.6667 0.0000
Ho2 0.6667 0.3333 0.0000
Y1 0.0000 0.0000 0.0000
P1 0.2559 0.2559 0.7644
P2 0.7441 0.7441 0.2356
P3 0.0786 0.4130 0.2356
P4 0.9214 0.5870 0.7644
P5 0.4130 0.0786 0.2356
P6 0.5870 0.9214 0.7644
La1 0.8335 0.1665 0.5000
La2 0.5000 0.5000 0.5000
La3 0.1665 0.8335 0.5000

Calculated values
ΔE_f (kJ/mol of atoms): -152.71
E_tot (eV/atom): -6.8211